# ReTePb | Alexandria | PBE | optimized geometry
data_ReTePb
_chemical_formula_sum 'Re1 Te1 Pb1'
_space_group_name_H-M_alt 'P 3 m 1'
_space_group_IT_number 156
_space_group_name_Hall 'P 3 -2"'
_cell_length_a 3.3695
_cell_length_b 3.3695
_cell_length_c 8.1432
_cell_angle_alpha 90.00
_cell_angle_beta 90.00
_cell_angle_gamma 120.00
loop_
_atom_site_label
_atom_site_fract_x
_atom_site_fract_y
_atom_site_fract_z
_atom_site_occupancy
Re1 0.0000 0.0000 0.0000 1
Te1 0.3333 0.6667 0.2187 1
Pb1 0.6667 0.3333 0.7147 1
# Total magnetic moment   0.000 Bohr magnetons per cell
# Calculated total energy   -17.87 eV/cell
# Formation energy without anion corrections   1.42 eV/f.u.
# ΔE to the lowest computed polymorph   0.12 eV/f.u.